Crystalline Ca2Si4Ir3 at its relaxed geometry. Source: Alexandria, functional GGA-PBE.

extended XYZ file:
```
9
Lattice="-3.443 -4.427 0.557 5.585 -0.692 0.296 -1.269 3.446 5.390" Properties=species:S:1:pos:R:3 pbc="T T T"
Si -3.002 -0.576 4.086
Ir 2.793 -0.346 0.148
Ca -0.146 0.651 4.274
Ca 1.019 -2.325 1.969
Ir 0.000 0.000 0.000
Ir -1.721 -2.214 0.279
Si -1.856 -3.469 2.324
Si 2.729 1.795 3.920
Si 3.875 -1.098 2.157
```

## Properties
Its energy is -57.417 eV per formula unit. The calculation puts the formation energy from raw total energies at -13.17 kcal/mol of atoms.